(1)
TmCd3Hg3 | Alexandria via LeMat-Bulk | PBE | relaxed; DFT formation energy = -2.99 kcal/mol of atoms; offset from the most stable computed form = 0.00 eV per formula unit
1.0
8.6001 0.0000 0.0000
-4.3001 7.4479 0.0000
0.0000 0.0000 5.1446
Tm Cd Hg
2 6 6
Direct
0.3333 0.6667 0.2500 Tm
0.6667 0.3333 0.7500 Tm
0.0466 0.8118 0.2500 Cd
0.1882 0.2348 0.2500 Cd
0.2348 0.0466 0.7500 Cd
0.7652 0.9534 0.2500 Cd
0.8118 0.7652 0.7500 Cd
0.9534 0.1882 0.7500 Cd
0.0923 0.6167 0.7500 Hg
0.3833 0.4756 0.7500 Hg
0.4756 0.0923 0.2500 Hg
0.5244 0.9077 0.7500 Hg
0.6167 0.5244 0.2500 Hg
0.9077 0.3833 0.2500 Hg

---

(2)
CaAc2Cu3Sn4 | Alexandria via LeMat-Bulk | PBE | relaxed; DFT formation energy = -10.03 kcal/mol of atoms
1.0
4.6032 0.0000 0.0000
0.0000 4.6032 0.0000
0.0000 0.0000 12.0726
Ca Ac Cu Sn
1 2 3 4
Direct
0.0000 0.0000 0.0000 Ca
0.0000 0.5000 0.7316 Ac
0.5000 0.0000 0.2684 Ac
0.0000 0.5000 0.3763 Cu
0.5000 0.0000 0.6237 Cu
0.5000 0.5000 0.0000 Cu
0.0000 0.0000 0.5000 Sn
0.0000 0.5000 0.1591 Sn
0.5000 0.0000 0.8409 Sn
0.5000 0.5000 0.5000 Sn

---

(3)
LiGa8Cu4 | Alexandria via LeMat-Bulk | PBE | relaxed; DFT formation energy = -2.23 kcal/mol of atoms
1.0
-4.4496 4.4496 2.5713
4.4496 -4.4496 2.5713
4.4496 4.4496 -2.5713
Li Ga Cu
1 8 4
Direct
0.0000 0.0000 0.0000 Li
0.0000 0.3438 0.3438 Ga
0.0000 0.6562 0.6562 Ga
0.2866 0.5000 0.7866 Ga
0.3438 0.0000 0.3438 Ga
0.5000 0.2866 0.7866 Ga
0.5000 0.7134 0.2134 Ga
0.6562 0.0000 0.6562 Ga
0.7134 0.5000 0.2134 Ga
0.0000 0.0000 0.5000 Cu
0.0000 0.5000 0.0000 Cu
0.5000 0.0000 0.0000 Cu
0.5000 0.5000 0.5000 Cu

---

(4)
PmAg2TeO4 | Alexandria via LeMat-Bulk | PBE | relaxed; ΔE_f (raw) = -1.246 eV/atom
1.0
4.1919 -5.6622 0.0000
4.1919 5.6622 0.0000
-3.7820 0.0000 5.7620
Pm Ag Te O
2 4 2 8
Direct
0.0000 0.5000 0.0000 Pm
0.5000 0.0000 0.5000 Pm
0.0000 0.0000 0.0000 Ag
0.0000 0.0000 0.5000 Ag
0.0000 0.5000 0.5000 Ag
0.5000 0.0000 0.0000 Ag
0.5000 0.5000 0.0000 Te
0.5000 0.5000 0.5000 Te
0.1559 0.2754 0.8483 O
0.2423 0.6188 0.3973 O
0.2754 0.1559 0.3483 O
0.3812 0.7577 0.1027 O
0.6188 0.2423 0.8973 O
0.7246 0.8441 0.6517 O
0.7577 0.3812 0.6027 O
0.8441 0.7246 0.1517 O

---

(5)
CsNb2Os | Alexandria via LeMat-Bulk | PBE | relaxed; DFT formation energy = 32.72 kcal/mol of atoms; offset from the most stable computed form = 0.00 eV per formula unit
1.0
0.0000 3.3916 3.3916
3.3916 0.0000 3.3916
3.3916 3.3916 0.0000
Cs Nb Os
1 2 1
Direct
0.0000 0.0000 0.0000 Cs
0.2500 0.2500 0.2500 Nb
0.7500 0.7500 0.7500 Nb
0.5000 0.5000 0.5000 Os

---

(6)
NdAgP2Pt7 | Alexandria via LeMat-Bulk | PBE | relaxed; DFT formation energy = -5.46 kcal/mol of atoms
1.0
-2.0226 2.0226 14.6784
2.0226 -2.0226 14.6784
2.0226 2.0226 -14.6784
Nd Ag P Pt
1 1 2 7
Direct
0.0000 0.0000 0.0000 Nd
0.7500 0.2500 0.5000 Ag
0.3801 0.3801 0.0000 P
0.6199 0.6199 0.0000 P
0.0773 0.5773 0.5000 Pt
0.3072 0.3072 0.0000 Pt
0.4227 0.9227 0.5000 Pt
0.5000 0.5000 0.0000 Pt
0.5776 0.0776 0.5000 Pt
0.6928 0.6928 0.0000 Pt
0.9224 0.4224 0.5000 Pt

---

(7)
TbSm2Tm6Sc3 | Alexandria via LeMat-Bulk | PBE | relaxed; DFT formation energy = 1.04 kcal/mol of atoms
1.0
3.0083 -5.2081 0.0000
3.0083 5.2081 0.0000
-2.0031 0.0000 11.2365
Tb Sm Tm Sc
1 2 6 3
Direct
0.0000 0.0000 0.0000 Tb
0.3333 0.6667 0.0000 Sm
0.6667 0.3333 0.0000 Sm
0.0869 0.4201 0.2603 Tm
0.2462 0.2462 0.7397 Tm
0.4201 0.0869 0.2603 Tm
0.5799 0.9131 0.7397 Tm
0.7538 0.7538 0.2603 Tm
0.9131 0.5799 0.7397 Tm
0.1666 0.8334 0.5000 Sc
0.5000 0.5000 0.5000 Sc
0.8334 0.1666 0.5000 Sc

---

no.,N(E_F) (states/eV/f.u.)
1,2.9
2,4.1
3,3.0
4,1.1
5,5.6
6,4.5
7,18.0